1.
Entry from Alexandria: a relaxed structure of Hf2TiPt2 (PBE-GGA).

```
10
Lattice="-3.999 4.484 -4.491 -2.136 -5.949 -4.038 -2.678 -0.392 1.994" Properties=species:S:1:pos:R:3 pbc="T T T"
Pt -3.317 -3.512 -5.146
Pt -2.817 2.047 -3.383
Pt -1.316 -1.583 -2.080
Pt -4.818 0.118 -6.450
Hf -5.788 -2.148 -5.363
Hf -3.439 -3.417 -2.457
Hf -5.374 1.560 -4.079
Hf -3.025 0.292 -1.173
Ti -3.067 -0.733 -4.265
Ti 0.000 0.000 0.000
```

Values from the calculation:
Calculated volume, Å³/atom: 18.9
Formation enthalpy at 0 K, kJ per mole of atoms: -79
Total DFT energy (no corrections), eV/atom: -8.800


2.
Entry from Alexandria: a relaxed structure of AcPr4Te5 (PBE-GGA).

```
10
Lattice="-1.360 -3.909 1.948 3.439 0.300 3.002 -10.586 10.158 7.624" Properties=species:S:1:pos:R:3 pbc="T T T"
Pr -4.714 3.231 8.563
Pr -3.792 3.319 4.012
Pr -0.924 -0.086 4.553
Pr -7.583 6.635 8.022
Ac 0.000 0.000 0.000
Te -1.934 1.692 2.046
Te -5.695 4.984 6.026
Te -2.811 1.565 6.549
Te -6.573 4.857 10.529
Te 1.040 -1.805 2.475
```

Values from the calculation:
Formation energy from raw total energies, kJ per mole of atoms: -138.86
Calculated volume, Å³/atom: 33.9
Total DFT energy (no corrections), eV/atom: -5.333


3.
Entry from Alexandria: a relaxed structure of MgNbCl (PBE-GGA).

```
6
Lattice="-2.786 -3.218 -1.518 2.511 -2.264 0.192 -1.453 -0.827 9.239" Properties=species:S:1:pos:R:3 pbc="T T T"
Mg -2.159 -2.420 -0.297
Mg 0.364 -2.045 0.978
Nb -1.715 -3.861 6.756
Nb -1.714 -1.233 7.870
Cl -1.337 -3.871 1.698
Cl -2.031 -1.806 5.263
```

Values from the calculation:
Formation energy from raw total energies, kJ per mole of atoms: -38.28
Calculated volume, Å³/atom: 23.6
Total DFT energy (no corrections), eV/atom: -4.900


4.
Entry from Alexandria: a relaxed structure of Ac3Tl3BiSe8 (PBE-GGA).

```
15
Lattice="-4.491 -3.151 -7.183 8.945 -1.142 0.595 -5.540 -4.715 5.532" Properties=species:S:1:pos:R:3 pbc="T T T"
Se 1.458 -6.875 -0.845
Se -2.544 -2.134 -0.212
Se -4.872 -3.767 -3.936
Se -0.234 -4.359 -3.628
Se -3.023 -6.308 -1.029
Se -0.852 -4.650 2.572
Se 3.787 -5.241 2.880
Se 1.938 -2.700 -0.027
Tl 2.227 -2.147 -3.294
Tl 0.000 0.000 0.000
Tl 4.472 -0.571 0.298
Ac -5.015 -3.933 -0.826
Ac -0.543 -4.504 -0.528
Ac 1.703 -2.929 3.063
Bi -2.770 -2.358 2.766
```

Values from the calculation:
Formation energy from raw total energies, kJ per mole of atoms: -112.17
Calculated volume, Å³/atom: 35.4
Total DFT energy (no corrections), eV/atom: -4.575


5.
Entry from Alexandria: a relaxed structure of Mg2In3Pb3 (PBE-GGA).

```
8
Lattice="5.021 0.000 0.000 0.000 4.715 0.000 0.000 0.000 9.202" Properties=species:S:1:pos:R:3 pbc="T T T"
Mg 0.000 0.000 6.945
Mg 0.000 0.000 2.258
In 2.511 2.357 6.947
In 2.511 2.357 2.255
In 2.511 0.000 0.000
Pb 2.511 0.000 4.601
Pb 0.000 2.357 4.601
Pb 0.000 2.357 0.000
```

Values from the calculation:
Calculated volume, Å³/atom: 27.2
Formation enthalpy at 0 K, kJ per mole of atoms: -1
Total DFT energy (no corrections), eV/atom: -2.828


6.
Entry from Alexandria: a relaxed structure of ZrInPCl2 (PBE-GGA).

```
5
Lattice="4.953 0.000 0.000 0.000 4.953 0.000 0.000 0.000 5.419" Properties=species:S:1:pos:R:3 pbc="T T T"
In 0.000 0.000 0.000
P 0.000 0.000 2.710
Cl 0.000 2.476 0.000
Cl 2.476 0.000 0.000
Zr 2.476 2.476 2.710
```

Values from the calculation:
Formation energy from raw total energies, kJ per mole of atoms: 21.52
Calculated volume, Å³/atom: 26.6
Total DFT energy (no corrections), eV/atom: -3.855